# 1
A plane-wave DFT calculation with PBE was carried out for a relaxed KAlBr crystal.

The space group is P-6m2 (No. 187) and the conventional cell measures 5.3539, 5.3539 and 3.9092 Å, with angles of 90.00, 90.00 and 120.00 degrees. The asymmetric unit holds K at (0.0000, 0.0000, 0.0000), Al at (0.6667, 0.3333, 0.5000) and Br at (0.3333, 0.6667, 0.5000).

The value obtained for the electronic total energy is -2.442 eV per atom. The offset from the most stable computed form comes out at 50 meV/atom. The value obtained for the calculated volume is 32.3 A^3/atom. The calculation puts the uncorrected formation energy at -0.27 eV/atom.

***

# 2
A plane-wave DFT calculation with PBE was carried out for a relaxed K2AlBr2 crystal.

The space group is I4/mmm (No. 139) and the conventional cell measures 5.9647, 5.9647 and 13.1077 Å, with angles of 90.00, 90.00 and 90.00 degrees. The asymmetric unit holds K at (0.0000, 0.0000, 0.1657), Al at (0.0000, 0.0000, 0.5000) and Br at (0.0000, 0.5000, 0.2500).

The value obtained for the electronic total energy is -2.509 eV per atom. The offset from the most stable computed form comes out at 109 meV/atom. The value obtained for the calculated volume is 46.6 A^3/atom. The calculation puts the uncorrected formation energy at -0.65 eV/atom.

***

# 3
A plane-wave DFT calculation with PBE was carried out for a relaxed K2AlBr5 crystal.

The space group is I4mm (No. 107) and the conventional cell measures 7.7958, 7.7958 and 9.6022 Å, with angles of 90.00, 90.00 and 90.00 degrees. The asymmetric unit holds K at (0.0000, 0.5000, 0.0000), Al at (0.0000, 0.0000, 0.2895), Br at (0.0000, 0.0000, 0.5320) and Br at (0.2199, 0.2199, 0.2351).

The value obtained for the electronic total energy is -3.201 eV per atom. The offset from the most stable computed form comes out at 0 meV/atom. The value obtained for the calculated volume is 36.5 A^3/atom. The calculation puts the uncorrected formation energy at -1.41 eV/atom.

***

# 4
A plane-wave DFT calculation with PBE was carried out for a relaxed K3AlBr crystal.

The space group is Pm-3m (No. 221) and the conventional cell measures 6.2534, 6.2534 and 6.2534 Å, with angles of 90.00, 90.00 and 90.00 degrees. The asymmetric unit holds K at (0.0000, 0.0000, 0.5000), Al at (0.5000, 0.5000, 0.5000) and Br at (0.0000, 0.0000, 0.0000).

The value obtained for the electronic total energy is -2.057 eV per atom. The offset from the most stable computed form comes out at 0 meV/atom. The value obtained for the calculated volume is 48.9 A^3/atom. The calculation puts the uncorrected formation energy at -0.32 eV/atom.

***

# 5
A plane-wave DFT calculation with PBE was carried out for a relaxed KAl3Br crystal.

The space group is Pm-3m (No. 221) and the conventional cell measures 5.6515, 5.6515 and 5.6515 Å, with angles of 90.00, 90.00 and 90.00 degrees. The asymmetric unit holds K at (0.0000, 0.0000, 0.0000), Al at (0.0000, 0.5000, 0.5000) and Br at (0.5000, 0.5000, 0.5000).

The value obtained for the electronic total energy is -2.227 eV per atom. The offset from the most stable computed form comes out at 0 meV/atom. The value obtained for the calculated volume is 36.1 A^3/atom. The calculation puts the uncorrected formation energy at 0.57 eV/atom.

***

# 6
A plane-wave DFT calculation with PBE was carried out for a relaxed KAl2Br crystal.

The space group is Pm (No. 6) and the conventional cell measures 3.7211, 4.0323 and 8.3513 Å, with angles of 90.00, 102.84 and 90.00 degrees. The asymmetric unit holds K at (0.0000, 0.0000, 0.0000), Al at (0.2963, 0.0000, 0.5954), Al at (0.7663, 0.5000, 0.5346) and Br at (0.6012, 0.5000, 0.2030).

The value obtained for the electronic total energy is -2.856 eV per atom. The offset from the most stable computed form comes out at 0 meV/atom. The value obtained for the calculated volume is 30.5 A^3/atom. The calculation puts the uncorrected formation energy at -0.29 eV/atom.

***

# 7
A plane-wave DFT calculation with PBE was carried out for a relaxed K2AlBr5 crystal.

The space group is Pnnm (No. 58) and the conventional cell measures 12.1943, 13.5750 and 9.5065 Å, with angles of 90.00, 90.00 and 90.00 degrees. The asymmetric unit holds K at (0.0000, 0.0000, 0.2251), K at (0.1298, 0.3298, 0.0000), Al at (0.2495, 0.2245, 0.5000), Br at (0.0693, 0.1658, 0.5000), Br at (0.1319, 0.5882, 0.0000), Br at (0.1416, 0.1066, 0.0000) and Br at (0.2162, 0.8192, 0.1991).

The value obtained for the electronic total energy is -3.199 eV per atom. The offset from the most stable computed form comes out at 2 meV/atom. The value obtained for the calculated volume is 49.2 A^3/atom. The calculation puts the uncorrected formation energy at -1.41 eV/atom.

***

# 8
A plane-wave DFT calculation with PBE was carried out for a relaxed KAlBr2 crystal.

The space group is Fm-3m (No. 225) and the conventional cell measures 7.8582, 7.8582 and 7.8582 Å, with angles of 90.00, 90.00 and 90.00 degrees. The asymmetric unit holds K at (0.0000, 0.0000, 0.0000), Al at (0.0000, 0.0000, 0.5000) and Br at (0.2500, 0.2500, 0.2500).

The value obtained for the electronic total energy is -2.895 eV per atom. The offset from the most stable computed form comes out at 106 meV/atom. The value obtained for the calculated volume is 30.3 A^3/atom. The calculation puts the uncorrected formation energy at -0.85 eV/atom.

***

# 9
A plane-wave DFT calculation with PBE was carried out for a relaxed KAlBr2 crystal.

The space group is R-3m (No. 166, hexagonal axes) and the conventional cell measures 4.8862, 4.8862 and 27.0767 Å, with angles of 90.00, 90.00 and 120.00 degrees. The asymmetric unit holds K at (0.0000, 0.0000, 0.0000), Al at (0.0000, 0.0000, 0.5000) and Br at (0.0000, 0.0000, 0.3997).

The value obtained for the electronic total energy is -2.836 eV per atom. The offset from the most stable computed form comes out at 165 meV/atom. The value obtained for the calculated volume is 46.7 A^3/atom. The calculation puts the uncorrected formation energy at -0.79 eV/atom.

***

# 10
A plane-wave DFT calculation with PBE was carried out for a relaxed KAlBr2 crystal.

The space group is C2/m (No. 12) and the conventional cell measures 8.0598, 4.6450 and 7.9432 Å, with angles of 90.00, 109.70 and 90.00 degrees. The asymmetric unit holds K at (0.0000, 0.0000, 0.0000), Al at (0.0000, 0.5000, 0.5000) and Br at (0.2457, 0.0000, 0.7369).

The value obtained for the electronic total energy is -2.958 eV per atom. The offset from the most stable computed form comes out at 43 meV/atom. The value obtained for the calculated volume is 35.0 A^3/atom. The calculation puts the uncorrected formation energy at -0.91 eV/atom.

***

# 11
A plane-wave DFT calculation with PBE was carried out for a relaxed KAl2Br crystal.

The space group is P4/mmm (No. 123) and the conventional cell measures 4.1205, 4.1205 and 7.7289 Å, with angles of 90.00, 90.00 and 90.00 degrees. The asymmetric unit holds K at (0.0000, 0.0000, 0.0000), Al at (0.5000, 0.5000, 0.3334) and Br at (0.0000, 0.0000, 0.5000).

The value obtained for the electronic total energy is -2.424 eV per atom. The offset from the most stable computed form comes out at 433 meV/atom. The value obtained for the calculated volume is 32.8 A^3/atom. The calculation puts the uncorrected formation energy at 0.14 eV/atom.

***

# 12
A plane-wave DFT calculation with PBE was carried out for a relaxed K2AlBr4 crystal.

The space group is I4/mmm (No. 139) and the conventional cell measures 5.3233, 5.3233 and 16.8473 Å, with angles of 90.00, 90.00 and 90.00 degrees. The asymmetric unit holds K at (0.0000, 0.0000, 0.1412), Al at (0.0000, 0.0000, 0.5000), Br at (0.0000, 0.0000, 0.3364) and Br at (0.0000, 0.5000, 0.0000).

The value obtained for the electronic total energy is -3.088 eV per atom. The value obtained for the calculated volume is 34.1 A^3/atom. The calculation puts the uncorrected formation energy at -1.28 eV/atom.

***

# 13
A plane-wave DFT calculation with PBE was carried out for a relaxed KAlBr crystal.

The space group is I4mm (No. 107) and the conventional cell measures 3.7588, 3.7588 and 13.5979 Å, with angles of 90.00, 90.00 and 90.00 degrees. The asymmetric unit holds K at (0.0000, 0.0000, 0.0000), Al at (0.0000, 0.0000, 0.6968) and Br at (0.0000, 0.0000, 0.3671).

The value obtained for the electronic total energy is -2.444 eV per atom. The offset from the most stable computed form comes out at 48 meV/atom. The value obtained for the calculated volume is 32.0 A^3/atom. The calculation puts the uncorrected formation energy at -0.27 eV/atom.